1.
The following is a DFT calculation (PBE) of KPt2Se after structural relaxation.

a b c (Å): 5.431 5.431 2.880
angles (deg): 90.00 90.00 114.79
Element x y z (fractional)
K1 0.000 0.000 0.000
Pt1 0.000 0.500 0.500
Pt2 0.500 0.000 0.500
Se1 0.500 0.500 0.000

Calculated values
Formation energy from raw total energies (eV/atom): 0.31
Crystal system: orthorhombic



2.
The following is a DFT calculation (PBE) of SrTcHg2 after structural relaxation.

a b c (Å): 3.594 4.992 5.755
angles (deg): 90.00 90.08 90.00
Element x y z (fractional)
Sr1 0.000 0.000 0.000
Tc1 0.500 0.500 0.735
Hg1 0.500 0.000 0.522
Hg2 0.500 0.500 0.231

Calculated values
ΔE to the lowest computed polymorph (meV/atom): 101.8
Energy of formation from the pure elements (eV per atom): 0.393
Crystal system: monoclinic



3.
The following is a DFT calculation (PBE) of Dy4Bi2Te after structural relaxation.

a b c (Å): 8.057 8.057 8.057
angles (deg): 109.80 109.80 108.82
Element x y z (fractional)
Dy1 0.127 0.020 0.745
Dy2 0.132 0.524 0.755
Dy3 0.274 0.382 0.255
Dy4 0.476 0.230 0.608
Dy5 0.618 0.873 0.892
Dy6 0.623 0.868 0.392
Dy7 0.770 0.377 0.245
Dy8 0.980 0.726 0.108
Bi1 0.375 0.004 0.129
Bi2 0.754 0.625 0.629
Bi3 0.875 0.246 0.871
Bi4 0.996 0.125 0.371
Te1 0.250 0.750 0.500
Te2 0.500 0.500 0.000

Calculated values
ΔE to the lowest computed polymorph (meV/atom): 0.0
Formation energy from raw total energies (eV/atom): -0.84
Crystal system: tetragonal



4.
The following is a DFT calculation (PBE) of HfZrNp2As4 after structural relaxation.

a b c (Å): 6.866 3.956 6.904
angles (deg): 90.00 109.25 90.00
Element x y z (fractional)
Hf1 0.000 0.000 0.000
Zr1 0.000 0.500 0.500
Np1 0.500 0.000 0.500
Np2 0.500 0.500 0.000
As1 0.234 0.500 0.243
As2 0.236 0.000 0.747
As3 0.764 0.000 0.253
As4 0.766 0.500 0.757

Calculated values
Energy of formation from the pure elements (eV per atom): -0.904
Crystal system: monoclinic



5.
The following is a DFT calculation (PBE) of Ca2InSi after structural relaxation.

a b c (Å): 4.873 4.873 7.177
angles (deg): 99.56 99.56 43.08
Element x y z (fractional)
Ca1 0.239 0.239 0.218
Ca2 0.761 0.761 0.782
In1 0.000 0.000 0.500
Si1 0.500 0.500 0.000

Calculated values
Formation energy from raw total energies (eV/atom): -0.17
Crystal system: monoclinic



6.
The following is a DFT calculation (PBE) of Li5B2Se5 after structural relaxation.

a b c (Å): 6.313 6.313 10.075
angles (deg): 108.01 108.01 33.35
Element x y z (fractional)
Li1 0.000 0.000 0.000
Li2 0.149 0.149 0.547
Li3 0.251 0.251 0.866
Li4 0.749 0.749 0.134
Li5 0.851 0.851 0.453
B1 0.460 0.460 0.711
B2 0.540 0.540 0.289
Se1 0.147 0.147 0.291
Se2 0.394 0.394 0.120
Se3 0.500 0.500 0.500
Se4 0.606 0.606 0.880
Se5 0.853 0.853 0.709

Calculated values
Formation energy from raw total energies (eV/atom): -0.55
Crystal system: monoclinic



7.
The following is a DFT calculation (PBE) of Sm7RhCl12 after structural relaxation.

a b c (Å): 9.139 9.139 9.139
angles (deg): 106.68 106.68 106.68
Element x y z (fractional)
Sm1 0.000 0.000 0.000
Sm2 0.184 0.485 0.390
Sm3 0.390 0.184 0.485
Sm4 0.485 0.390 0.184
Sm5 0.515 0.610 0.816
Sm6 0.610 0.816 0.515
Sm7 0.816 0.515 0.610
Rh1 0.500 0.500 0.500
Cl1 0.041 0.124 0.325
Cl2 0.124 0.325 0.041
Cl3 0.180 0.578 0.711
Cl4 0.289 0.820 0.422
Cl5 0.325 0.041 0.124
Cl6 0.422 0.289 0.820
Cl7 0.578 0.711 0.180
Cl8 0.675 0.959 0.876
Cl9 0.711 0.180 0.578
Cl10 0.820 0.422 0.289
Cl11 0.876 0.675 0.959
Cl12 0.959 0.876 0.675

Calculated values
Formation energy from raw total energies (eV/atom): -1.91
Crystal system: trigonal



8.
The following is a DFT calculation (PBE) of Pm4BiTe4 after structural relaxation.

a b c (Å): 8.474 8.474 8.474
angles (deg): 126.33 126.33 79.34
Element x y z (fractional)
Pm1 0.091 0.645 0.000
Pm2 0.355 0.355 0.446
Pm3 0.645 0.091 0.000
Pm4 0.909 0.909 0.554
Bi1 0.000 0.000 0.000
Te1 0.000 0.500 0.500
Te2 0.297 0.297 0.000
Te3 0.500 0.000 0.500
Te4 0.703 0.703 0.000

Calculated values
Formation energy from raw total energies (eV/atom): -0.89
Crystal system: tetragonal



9.
The following is a DFT calculation (PBE) of MgC3 after structural relaxation.

a b c (Å): 4.226 4.226 4.226
angles (deg): 137.49 103.61 91.57
Element x y z (fractional)
Mg1 0.000 0.000 0.000
C1 0.279 0.779 0.500
C2 0.500 0.000 0.500
C3 0.721 0.221 0.500

Calculated values
ΔE to the lowest computed polymorph (meV/atom): 247.3
Energy of formation from the pure elements (eV per atom): 0.912
Crystal system: orthorhombic



10.
The following is a DFT calculation (PBE) of Zr2BeAs after structural relaxation.

a b c (Å): 4.651 4.651 4.651
angles (deg): 60.00 60.00 60.00
Element x y z (fractional)
Zr1 0.000 0.000 0.000
Zr2 0.250 0.250 0.250
Be1 0.750 0.750 0.750
As1 0.500 0.500 0.500

Calculated values
ΔE to the lowest computed polymorph (meV/atom): 1089.8
Energy of formation from the pure elements (eV per atom): 0.297
Crystal system: cubic



11.
The following is a DFT calculation (PBE) of PaTiTe2 after structural relaxation.

a b c (Å): 9.125 6.875 8.782
angles (deg): 90.00 118.04 90.00
Element x y z (fractional)
Pa1 0.000 0.000 0.218
Pa2 0.000 0.000 0.782
Pa3 0.000 0.500 0.282
Pa4 0.000 0.500 0.718
Ti1 0.146 0.173 0.571
Ti2 0.146 0.327 0.071
Ti3 0.854 0.673 0.929
Ti4 0.854 0.827 0.429
Te1 0.201 0.726 0.098
Te2 0.201 0.774 0.598
Te3 0.335 0.250 0.414
Te4 0.335 0.250 0.914
Te5 0.665 0.750 0.086
Te6 0.665 0.750 0.586
Te7 0.799 0.226 0.402
Te8 0.799 0.274 0.902

Calculated values
ΔE to the lowest computed polymorph (meV/atom): 0.0
Formation energy from raw total energies (eV/atom): -0.57
Crystal system: monoclinic



12.
The following is a DFT calculation (PBE) of Ta2Br8O after structural relaxation.

a b c (Å): 8.405 8.405 6.101
angles (deg): 96.28 96.28 86.08
Element x y z (fractional)
Ta1 0.054 0.054 0.220
Ta2 0.946 0.946 0.780
Br1 0.032 0.742 0.088
Br2 0.251 0.251 0.390
Br3 0.258 0.968 0.912
Br4 0.427 0.427 0.853
Br5 0.573 0.573 0.147
Br6 0.742 0.032 0.088
Br7 0.749 0.749 0.610
Br8 0.968 0.258 0.912
O1 0.000 0.000 0.500

Calculated values
Formation energy from raw total energies (eV/atom): -0.84
Crystal system: monoclinic



13.
The following is a DFT calculation (PBE) of Cu3MoPt4 after structural relaxation.

a b c (Å): 8.930 5.533 4.657
angles (deg): 90.00 90.00 90.00
Element x y z (fractional)
Cu1 0.000 0.000 0.000
Cu2 0.250 0.000 0.363
Cu3 0.250 0.500 0.353
Cu4 0.500 0.000 0.000
Cu5 0.750 0.000 0.637
Cu6 0.750 0.500 0.647
Mo1 0.000 0.500 0.000
Mo2 0.500 0.500 0.000
Pt1 0.000 0.248 0.500
Pt2 0.000 0.752 0.500
Pt3 0.250 0.246 0.866
Pt4 0.250 0.754 0.866
Pt5 0.500 0.248 0.500
Pt6 0.500 0.752 0.500
Pt7 0.750 0.246 0.134
Pt8 0.750 0.754 0.134

Calculated values
Energy of formation from the pure elements (eV per atom): -0.184
Crystal system: orthorhombic



14.
The following is a DFT calculation (PBE) of TeAsIrAu after structural relaxation.

a b c (Å): 4.934 4.667 4.667
angles (deg): 57.33 90.00 90.00
Element x y z (fractional)
Te1 0.000 0.000 0.000
As1 0.500 0.534 0.534
Ir1 0.000 0.662 0.662
Au1 0.500 0.845 0.845

Calculated values
ΔE to the lowest computed polymorph (meV/atom): 188.4
Formation energy from raw total energies (eV/atom): 0.11
Crystal system: orthorhombic



| no. | calculated volume (Å³/f.u.) |
| --- | --- |
| 1 | 77.14 |
| 2 | 103.25 |
| 3 | 201.27 |
| 4 | 177.02 |
| 5 | 114.51 |
| 6 | 208.92 |
| 7 | 641.11 |
| 8 | 381.68 |
| 9 | 47.20 |
| 10 | 71.12 |
| 11 | 121.56 |
| 12 | 425.18 |
| 13 | 115.04 |
| 14 | 90.47 |